[1]
Compound: Cs2NaHf
Source: Alexandria via LeMat-Bulk
Functional: PBEsol
Structure: optimized geometry

SG   Fm-3m
Total DFT energy (no corrections)   -9.06 eV/cell
M_tot   2.959 μB per cell
Energy of formation from the pure elements   114.2 kJ per mole of atoms

Cell lengths 6.4585, 6.4585, 6.4585 Å; angles 60.00, 60.00, 60.00 degrees
With the nearest neighbours (Å) after each atom.
Positions (direct):
Cs: 0.2500 0.2500 0.2500  4 Hf 3.95, 4 Na 3.95
Cs: 0.7500 0.7500 0.7500  4 Hf 3.95, 4 Na 3.95
Na: 0.0000 0.0000 0.0000  8 Cs 3.95
Hf: 0.5000 0.5000 0.5000  8 Cs 3.95

[2]
Compound: MnIr2W
Source: Alexandria via LeMat-Bulk
Functional: PBEsol
Structure: optimized geometry

Polymorph energy (0 for the lowest one)   0.061 eV/atom
SG   Pmmm
Total DFT energy (no corrections)   -44.00 eV/cell
M_tot   1.745 μB per cell
Energy of formation from the pure elements   -18.9 kJ per mole of atoms

Cell lengths 2.7092, 3.7649, 5.3992 Å; angles 90.00, 90.00, 90.00 degrees
With the nearest neighbours (Å) after each atom.
Positions (direct):
Mn: 0.5000 0.5000 0.0000  8 Ir 2.66, 2 W 2.70, 2 Mn 2.71
W: 0.5000 0.5000 0.5000  2 Mn 2.70, 2 W 2.71, 8 Ir 2.71
Ir: 0.0000 0.0000 0.7595  4 Ir 2.60-2.80, 4 Mn 2.66, 4 W 2.71
Ir: 0.0000 0.0000 0.2405  4 Ir 2.60-2.80, 4 Mn 2.66, 4 W 2.71

[3]
Compound: CsO2
Source: Alexandria via LeMat-Bulk
Functional: PBEsol
Structure: optimized geometry

Polymorph energy (0 for the lowest one)   0.027 eV/atom
SG   Immm
Total DFT energy (no corrections)   -27.89 eV/cell
Raw formation energy   -2.506 eV/f.u.
M_tot   2.000 μB per cell

Cell lengths 5.0733, 4.7598, 5.9686 Å; angles 90.00, 90.00, 90.00 degrees
With the nearest neighbours (Å) after each atom.
Positions (direct):
Cs: 0.0000 0.0000 0.0000  8 O 3.02-3.06
Cs: 0.5000 0.5000 0.5000  8 O 3.02-3.06
O: 0.1321 0.0000 0.5001  1 O 1.34
O: 0.6321 0.5000 0.9999  1 O 1.34
O: 0.3679 0.5000 0.0001  1 O 1.34
O: 0.8679 0.0000 0.4999  1 O 1.34

[4]
Compound: MnNiOs
Source: Alexandria via LeMat-Bulk
Functional: PBEsol
Structure: optimized geometry

SG   F-43m
Total DFT energy (no corrections)   -26.51 eV/cell
M_tot   1.391 μB per cell
Energy of formation from the pure elements   52.1 kJ per mole of atoms

Cell lengths 3.8522, 3.8522, 3.8522 Å; angles 60.00, 60.00, 60.00 degrees
With the nearest neighbours (Å) after each atom.
Positions (direct):
Mn: 0.2500 0.2500 0.2500  4 Os 2.36, 4 Ni 2.36
Ni: 0.0000 0.0000 0.0000  4 Mn 2.36
Os: 0.5000 0.5000 0.5000  4 Mn 2.36

[5]
Compound: RbSi2AgAu
Source: Alexandria via LeMat-Bulk
Functional: PBEsol
Structure: optimized geometry

SG   P4/mmm
Total DFT energy (no corrections)   -8.68 eV/cell
Raw formation energy   11.069 eV/f.u.
M_tot   0.001 μB per cell

Cell lengths 5.1880, 5.3471, 5.3471 Å; angles 90.00, 90.00, 90.00 degrees
With the nearest neighbours (Å) after each atom.
Positions (direct):
Si: 0.0000 0.0000 0.5000  2 Rb 2.67
Si: 0.0000 0.5000 0.0000  2 Rb 2.67
Au: 0.5000 0.5000 0.5000  8 Si 3.73, 4 Ag 3.78
Rb: 0.0000 0.0000 0.0000  2 Ag 2.59, 4 Si 2.67
Ag: 0.5000 0.0000 0.0000  2 Rb 2.59

[6]
Compound: HfNbSnPd2
Source: Alexandria via LeMat-Bulk
Functional: PBEsol
Structure: optimized geometry

SG   P4/mmm
Total DFT energy (no corrections)   -32.31 eV/cell
M_tot   1.266 μB per cell
Energy of formation from the pure elements   100.1 kJ per mole of atoms

Cell lengths 4.6908, 4.6908, 5.2513 Å; angles 90.00, 90.00, 90.00 degrees
With the nearest neighbours (Å) after each atom.
Positions (direct):
Nb: 0.5000 0.5000 0.5000  4 Sn 3.32, 8 Pd 3.52
Hf: 0.0000 0.0000 0.0000  4 Pd 2.35, 2 Sn 2.63
Sn: 0.0000 0.0000 0.5000  2 Hf 2.63
Pd: 0.0000 0.5000 0.0000  2 Hf 2.35
Pd: 0.5000 0.0000 0.0000  2 Hf 2.35